[1]
{"formula": "ZrPaN2O", "functional": "PBE", "state": "optimized geometry", "lattice": [[3.257, 0.000, 0.000], [-1.628, 5.381, 0.000], [0.000, 0.000, 7.495]], "species": ["Zr", "Zr", "N", "N", "N", "N", "Pa", "Pa", "O", "O"], "frac_coords": [[0.000, 0.000, 0.500], [0.000, 0.000, 0.000], [0.640, 0.280, 0.566], [0.360, 0.720, 0.066], [0.640, 0.280, 0.934], [0.360, 0.720, 0.434], [0.248, 0.496, 0.750], [0.752, 0.504, 0.250], [0.904, 0.807, 0.750], [0.096, 0.193, 0.250]], "formation_energy_uncorrected_ev_per_atom": -2.084, "magnetic_moment_mub_per_fu": 0.0}

***

[2]
{"formula": "LiScCr2Ga", "functional": "PBE", "state": "optimized geometry", "lattice": [[-1.726, 4.007, -1.528], [-3.728, -0.572, 2.709], [2.149, 2.234, 3.430]], "species": ["Sc", "Ga", "Li", "Cr", "Cr"], "frac_coords": [[0.000, 0.000, 0.000], [0.500, 0.500, 0.500], [0.000, 0.500, 0.000], [0.000, 0.000, 0.500], [0.500, 0.000, 0.000]], "magnetic_moment_mub_per_fu": 5.7, "formation_energy_kj_per_mol_atoms": 130.89}

***

[3]
{"formula": "Sm3Si3Ni", "functional": "PBE", "state": "optimized geometry", "lattice": [[-1.996, 2.124, 8.909], [1.996, -2.124, 8.909], [1.996, 2.124, -8.909]], "species": ["Si", "Si", "Si", "Sm", "Sm", "Sm", "Ni"], "frac_coords": [[0.364, 0.864, 0.500], [0.559, 0.559, 0.000], [0.642, 0.142, 0.500], [0.184, 0.684, 0.500], [0.999, 0.999, 0.000], [0.819, 0.319, 0.500], [0.433, 0.433, 0.000]], "formation_energy_uncorrected_ev_per_atom": -0.752, "magnetic_moment_mub_per_fu": 0.2}